The following is a DFT calculation (PBE-GGA) of a relaxed La7PmPd2 crystal.

```
La7PmPd2
1.0
-2.8681 -4.6309 0.2062
4.3164 -2.9910 -7.1332
3.5710 -1.8603 7.8897
La Pd Pm
7 2 1
direct
0.5000 0.0527 0.3105
0.5000 0.5000 0.5000
0.5000 0.6895 0.9473
0.5000 0.9473 0.6895
0.5000 0.3105 0.0527
0.0000 0.7184 0.2816
0.0000 0.2816 0.7184
0.5000 0.3054 0.6946
0.5000 0.6946 0.3054
0.0000 0.0000 0.0000
```

DOS(E_F), states/eV per cell: 16.66
Raw total energy, Ry per atom: -0.370
Calculated formation energy, meV per atom: -76